YCo2O4 after structural relaxation. Source: Alexandria, functional PBE with a Hubbard U.

Summary:
N(E_F) ... 4.1 states/eV/cell
Calculated volume ... 307.0 Å³/cell
Relative energy among the computed polymorphs ... 0.000 eV per atom
Total magnetic moment ... 12.00 μB per cell
Theoretical density ... 5.86 g/cm³

Lattice parameters (Å, degrees): 5.6247 5.6247 9.7047 90.00 90.00 90.00
Space group I4_1/a (No. 88, origin choice 2)
Unique sites:
Y1 0.0000 0.2500 0.1250 (multiplicity 4)
Co1 0.0000 0.0000 0.5000 (multiplicity 8)
O1 0.1471 0.4630 0.3223 (multiplicity 16)